Entry P
Here is CrIn2Cl after structural relaxation from Alexandria. Energies are from PBEsol.

a = 3.3374 Å, b = 3.3374 Å, c = 25.3636 Å
α = 90.00°, β = 90.00°, γ = 120.00°
Closest atoms and distances in Å follow each position.
Fractional positions:
Cr 0.0000 0.0000 0.0000  6 In 2.77
Cr 0.3333 0.6667 0.6667  6 In 2.77
Cr 0.6667 0.3333 0.3333  6 In 2.77
In 0.0000 0.0000 0.2551  3 Cr 2.77, 3 Cl 2.96
In 0.0000 0.0000 0.7449  3 Cr 2.77, 3 Cl 2.96
In 0.3333 0.6667 0.4115  3 Cr 2.77, 3 Cl 2.96
In 0.3333 0.6667 0.9218  3 Cr 2.77, 3 Cl 2.96
In 0.6667 0.3333 0.0782  3 Cr 2.77, 3 Cl 2.96
In 0.6667 0.3333 0.5885  3 Cr 2.77, 3 Cl 2.96
Cl 0.0000 0.0000 0.5000  6 In 2.96
Cl 0.3333 0.6667 0.1667  6 In 2.96
Cl 0.6667 0.3333 0.8333  6 In 2.96

Values from the calculation:
magnetization = 0.79 μB per atom

Entry Q
Here is CrIn2Cl after structural relaxation from Alexandria. Energies are from PBEsol.

a = 4.1698 Å, b = 4.1698 Å, c = 10.6232 Å
α = 90.00°, β = 90.00°, γ = 90.00°
Closest atoms and distances in Å follow each position.
Fractional positions:
Cr 0.0000 0.0000 0.0000  4 In 2.95
Cr 0.5000 0.5000 0.5000  4 In 2.95
In 0.0000 0.0000 0.5000  4 Cr 2.95
In 0.0000 0.5000 0.2500  4 Cl 2.95
In 0.5000 0.0000 0.7500  4 Cl 2.95
In 0.5000 0.5000 0.0000  4 Cr 2.95
Cl 0.0000 0.5000 0.7500  4 In 2.95
Cl 0.5000 0.0000 0.2500  4 In 2.95

Values from the calculation:
magnetization = 1.17 μB per atom

The structure with the least stability is entry Q.

Entry P
Here is CrIr2Cl after structural relaxation from Alexandria. Energies are from PBEsol.

a = 6.1026 Å, b = 6.1026 Å, c = 6.1026 Å
α = 90.00°, β = 90.00°, γ = 90.00°
Closest atoms and distances in Å follow each position.
Fractional positions:
Cr 0.0000 0.0000 0.0000  8 Ir 2.64
Cr 0.0000 0.5000 0.5000  8 Ir 2.64
Cr 0.5000 0.0000 0.5000  8 Ir 2.64
Cr 0.5000 0.5000 0.0000  8 Ir 2.64
Ir 0.2500 0.2500 0.2500  4 Cr 2.64, 4 Cl 2.64
Ir 0.2500 0.2500 0.7500  4 Cr 2.64, 4 Cl 2.64
Ir 0.2500 0.7500 0.2500  4 Cr 2.64, 4 Cl 2.64
Ir 0.2500 0.7500 0.7500  4 Cr 2.64, 4 Cl 2.64
Ir 0.7500 0.2500 0.2500  4 Cr 2.64, 4 Cl 2.64
Ir 0.7500 0.2500 0.7500  4 Cr 2.64, 4 Cl 2.64
Ir 0.7500 0.7500 0.2500  4 Cr 2.64, 4 Cl 2.64
Ir 0.7500 0.7500 0.7500  4 Cr 2.64, 4 Cl 2.64
Cl 0.0000 0.0000 0.5000  8 Ir 2.64
Cl 0.0000 0.5000 0.0000  8 Ir 2.64
Cl 0.5000 0.0000 0.0000  8 Ir 2.64
Cl 0.5000 0.5000 0.5000  8 Ir 2.64

Values from the calculation:
magnetization = 0.37 μB per atom

Entry Q
Here is CrIr2Cl after structural relaxation from Alexandria. Energies are from PBEsol.

a = 2.7444 Å, b = 4.5436 Å, c = 4.6062 Å
α = 90.00°, β = 90.00°, γ = 90.00°
Closest atoms and distances in Å follow each position.
Fractional positions:
Cr 0.0000 0.0000 0.0000  4 Ir 2.65, 4 Cl 2.68, 2 Cr 2.74
Ir 0.0000 0.5000 0.5000  4 Cl 2.65, 6 Ir 2.68-2.74
Ir 0.5000 0.5000 0.0000  4 Cr 2.65, 6 Ir 2.68-2.74
Cl 0.5000 0.0000 0.5000  4 Ir 2.65, 4 Cr 2.68, 2 Cl 2.74

Values from the calculation:
magnetization = 0.70 μB per atom

The structure with the least stability is entry P.

Entry P
Here is K2CrCl after structural relaxation from Alexandria. Energies are from PBEsol.

a = 4.6251 Å, b = 4.6251 Å, c = 13.1427 Å
α = 90.00°, β = 90.00°, γ = 90.00°
Closest atoms and distances in Å follow each position.
Fractional positions:
K 0.0000 0.0000 0.0000  4 Cl 3.27
K 0.0000 0.5000 0.2500  4 Cr 3.27
K 0.5000 0.0000 0.7500  4 Cr 3.27
K 0.5000 0.5000 0.5000  4 Cl 3.27
Cr 0.0000 0.5000 0.7500  4 K 3.27
Cr 0.5000 0.0000 0.2500  4 K 3.27
Cl 0.0000 0.0000 0.5000  4 K 3.27
Cl 0.5000 0.5000 0.0000  4 K 3.27

Values from the calculation:
magnetization = 1.30 μB per atom

Entry Q
Here is K2CrCl after structural relaxation from Alexandria. Energies are from PBEsol.

a = 3.9247 Å, b = 3.9247 Å, c = 9.9897 Å
α = 90.00°, β = 90.00°, γ = 90.00°
Closest atoms and distances in Å follow each position.
Fractional positions:
K 0.0000 0.0000 0.0000  1 Cl 2.98
K 0.5000 0.5000 0.4165  4 Cl 3.02
Cr 0.5000 0.5000 0.7715  5 K 3.55-3.59, 4 Cr 3.92
Cl 0.0000 0.0000 0.2981  5 K 2.98-3.02

Values from the calculation:
magnetization = 1.32 μB per atom

The structure with the least stability is entry P.

Entry P
Here is KCrCl after structural relaxation from Alexandria. Energies are from PBEsol.

a = 4.4066 Å, b = 4.4066 Å, c = 5.1686 Å
α = 90.00°, β = 90.00°, γ = 120.00°
Closest atoms and distances in Å follow each position.
Fractional positions:
K 0.0000 0.0000 0.0000  6 Cl 3.63, 6 Cr 3.63
Cr 0.6667 0.3333 0.5000  3 Cl 2.54
Cl 0.3333 0.6667 0.5000  3 Cr 2.54

Values from the calculation:
magnetization = 1.57 μB per atom

Entry Q
Here is KCrCl after structural relaxation from Alexandria. Energies are from PBEsol.

a = 7.2797 Å, b = 7.2797 Å, c = 7.2797 Å
α = 90.00°, β = 90.00°, γ = 90.00°
Closest atoms and distances in Å follow each position.
Fractional positions:
K 0.0000 0.0000 0.0000  4 Cr 3.15
K 0.0000 0.5000 0.5000  4 Cr 3.15
K 0.5000 0.0000 0.5000  4 Cr 3.15
K 0.5000 0.5000 0.0000  4 Cr 3.15
Cr 0.2500 0.2500 0.7500  4 Cl 3.15, 4 K 3.15
Cr 0.2500 0.7500 0.2500  4 Cl 3.15, 4 K 3.15
Cr 0.7500 0.2500 0.2500  4 Cl 3.15, 4 K 3.15
Cr 0.7500 0.7500 0.7500  4 K 3.15, 4 Cl 3.15
Cl 0.0000 0.0000 0.5000  4 Cr 3.15
Cl 0.0000 0.5000 0.0000  4 Cr 3.15
Cl 0.5000 0.0000 0.0000  4 Cr 3.15
Cl 0.5000 0.5000 0.5000  4 Cr 3.15

Values from the calculation:
magnetization = 1.95 μB per atom

The structure with the least stability is entry Q.

Entry P
Here is LaCr2Cl after structural relaxation from Alexandria. Energies are from PBEsol.

a = 3.4262 Å, b = 4.6259 Å, c = 4.9582 Å
α = 90.00°, β = 90.00°, γ = 90.00°
Closest atoms and distances in Å follow each position.
Fractional positions:
La 0.0000 0.0000 0.0000  4 Cl 2.88, 8 Cr 3.15
Cr 0.5000 0.1991 0.5000  1 Cr 1.84
Cr 0.5000 0.8009 0.5000  1 Cr 1.84
Cl 0.5000 0.5000 0.0000  4 Cr 2.84, 4 La 2.88

Values from the calculation:
magnetization = 0.00 μB per atom

Entry Q
Here is LaCr2Cl after structural relaxation from Alexandria. Energies are from PBEsol.

a = 4.2354 Å, b = 5.6551 Å, c = 6.7687 Å
α = 90.00°, β = 90.00°, γ = 90.00°
Closest atoms and distances in Å follow each position.
Fractional positions:
La 0.0000 0.0000 0.0000  4 Cr 2.99-3.10, 4 Cl 3.02-3.08
La 0.5000 0.5000 0.5000  4 Cr 2.99-3.10, 4 Cl 3.02-3.08
Cr 0.0000 0.0000 0.4974  2 Cl 2.44, 2 Cr 2.48
Cr 0.0000 0.5000 0.1874  2 Cr 2.48, 1 Cl 2.49
Cr 0.5000 0.0000 0.6874  2 Cr 2.48, 1 Cl 2.49
Cr 0.5000 0.5000 0.9974  2 Cl 2.44, 2 Cr 2.48
Cl 0.0000 0.5000 0.8189  3 Cr 2.44-2.49
Cl 0.5000 0.0000 0.3189  3 Cr 2.44-2.49

Values from the calculation:
magnetization = 0.01 μB per atom

The structure with the least stability is entry P.

Entry P
Here is LiCr2Cl after structural relaxation from Alexandria. Energies are from PBEsol.

a = 3.0629 Å, b = 3.0986 Å, c = 12.0764 Å
α = 90.00°, β = 90.00°, γ = 90.00°
Closest atoms and distances in Å follow each position.
Fractional positions:
Li 0.0000 0.0000 0.0000  4 Cl 2.32
Li 0.0000 0.5000 0.5000  4 Cl 2.32
Cr 0.0000 0.0000 0.7626  4 Cr 2.43
Cr 0.0000 0.5000 0.2626  4 Cr 2.43
Cr 0.5000 0.0000 0.3516  4 Cr 2.43, 1 Cl 2.60
Cr 0.5000 0.5000 0.8516  4 Cr 2.43, 1 Cl 2.60
Cl 0.5000 0.0000 0.5669  4 Li 2.32, 1 Cr 2.60
Cl 0.5000 0.5000 0.0669  4 Li 2.32, 1 Cr 2.60

Values from the calculation:
magnetization = 0.00 μB per atom

Entry Q
Here is LiCr2Cl after structural relaxation from Alexandria. Energies are from PBEsol.

a = 7.0957 Å, b = 7.0957 Å, c = 4.1815 Å
α = 90.00°, β = 90.00°, γ = 90.00°
Closest atoms and distances in Å follow each position.
Fractional positions:
Li 0.0000 0.0000 0.0000  2 Cl 2.09
Li 0.0000 0.5000 0.2500  2 Cl 2.09
Li 0.5000 0.0000 0.7500  2 Cl 2.09
Li 0.5000 0.5000 0.5000  2 Cl 2.09
Cr 0.1709 0.7500 0.6250  2 Cl 2.21, 2 Cr 2.37
Cr 0.2500 0.1709 0.3750  2 Cl 2.21, 2 Cr 2.37
Cr 0.2500 0.3291 0.8750  2 Cl 2.21, 2 Cr 2.37
Cr 0.3291 0.7500 0.1250  2 Cl 2.21, 2 Cr 2.37
Cr 0.6709 0.2500 0.1250  2 Cl 2.21, 2 Cr 2.37
Cr 0.7500 0.6709 0.8750  2 Cl 2.21, 2 Cr 2.37
Cr 0.7500 0.8291 0.3750  2 Cl 2.21, 2 Cr 2.37
Cr 0.8291 0.2500 0.6250  2 Cl 2.21, 2 Cr 2.37
Cl 0.0000 0.0000 0.5000  2 Li 2.09, 4 Cr 2.21
Cl 0.0000 0.5000 0.7500  2 Li 2.09, 4 Cr 2.21
Cl 0.5000 0.0000 0.2500  2 Li 2.09, 4 Cr 2.21
Cl 0.5000 0.5000 0.0000  2 Li 2.09, 4 Cr 2.21

Values from the calculation:
magnetization = 0.00 μB per atom

The structure with the least stability is entry Q.

Entry P
Here is LiCrCl after structural relaxation from Alexandria. Energies are from PBEsol.

a = 3.1024 Å, b = 3.1024 Å, c = 11.0023 Å
α = 90.00°, β = 90.00°, γ = 90.00°
Closest atoms and distances in Å follow each position.
Fractional positions:
Li 0.0000 0.0000 0.0000  4 Cl 2.58
Li 0.5000 0.5000 0.5000  4 Cl 2.58
Cr 0.0000 0.0000 0.2933  4 Cl 2.88, 4 Cr 3.10, 5 Li 3.16-3.23
Cr 0.5000 0.5000 0.7933  4 Cl 2.88, 4 Cr 3.10, 5 Li 3.16-3.23
Cl 0.0000 0.0000 0.6234  4 Li 2.58, 4 Cr 2.88
Cl 0.5000 0.5000 0.1234  4 Li 2.58, 4 Cr 2.88

Values from the calculation:
magnetization = 1.57 μB per atom

Entry Q
Here is LiCrCl after structural relaxation from Alexandria. Energies are from PBEsol.

a = 4.3863 Å, b = 4.3863 Å, c = 3.4140 Å
α = 90.00°, β = 90.00°, γ = 120.00°
Closest atoms and distances in Å follow each position.
Fractional positions:
Li 0.0000 0.0000 0.0000  6 Cl 3.05, 6 Cr 3.05, 2 Li 3.41
Cr 0.3333 0.6667 0.5000  3 Cl 2.53
Cl 0.6667 0.3333 0.5000  3 Cr 2.53

Values from the calculation:
magnetization = 1.66 μB per atom

The structure with the least stability is entry Q.